A plane-wave DFT calculation with GGA+U was carried out for a relaxed LaVNO2 crystal.

a b c (Å): 4.4674 4.4674 4.3997
angles (deg): 90.00 90.00 90.00
With the nearest neighbours (Å) after each atom.
Space group P4/mmm (No. 123)
Asymmetric unit:
La (0.0000, 0.0000, 0.0000) [1 per cell]  2 N 2.20, 4 O 2.23
V (0.5000, 0.5000, 0.5000) [1 per cell]  8 O 3.14, 4 N 3.16
N (0.0000, 0.0000, 0.5000) [1 per cell]  2 La 2.20
O (0.0000, 0.5000, 0.0000) [2 per cell]  2 La 2.23

Computed properties:
The calculation puts the theoretical density at 4.46 g/cm³. The calculation puts the density of states at the Fermi level at 5.4 states/eV/f.u. The energy comes out at -0.4622 Ry per atom. As for the crystal system: tetragonal.

---

A plane-wave DFT calculation with GGA+U was carried out for a relaxed LaVNO2 crystal.

a b c (Å): 3.9635 3.9635 3.8644
angles (deg): 90.00 90.00 90.00
With the nearest neighbours (Å) after each atom.
Space group P4/mmm (No. 123)
Asymmetric unit:
La (0.0000, 0.0000, 0.0000) [1 per cell]  8 O 2.77, 4 N 2.80
V (0.5000, 0.5000, 0.5000) [1 per cell]  2 N 1.93, 4 O 1.98
N (0.5000, 0.5000, 0.0000) [1 per cell]  2 V 1.93
O (0.0000, 0.5000, 0.5000) [2 per cell]  2 V 1.98

Computed properties:
The calculation puts the theoretical density at 6.45 g/cm³. The calculation puts the density of states at the Fermi level at 0.7 states/eV/f.u. The energy comes out at -0.6005 Ry per atom. As for the crystal system: tetragonal.

---

A plane-wave DFT calculation with GGA+U was carried out for a relaxed LaWNO2 crystal.

a b c (Å): 4.5238 4.5238 4.3220
angles (deg): 90.00 90.00 90.00
With the nearest neighbours (Å) after each atom.
Space group P4/mmm (No. 123)
Asymmetric unit:
La (0.0000, 0.0000, 0.0000) [1 per cell]  2 N 2.16, 4 O 2.26
W (0.5000, 0.5000, 0.5000) [1 per cell]  8 O 3.13, 4 N 3.20
N (0.0000, 0.0000, 0.5000) [1 per cell]  2 La 2.16
O (0.0000, 0.5000, 0.0000) [2 per cell]  2 La 2.26

Computed properties:
The calculation puts the theoretical density at 6.92 g/cm³. The calculation puts the density of states at the Fermi level at 1.9 states/eV/f.u. The energy comes out at -0.4276 Ry per atom. As for the crystal system: tetragonal.

---

A plane-wave DFT calculation with GGA+U was carried out for a relaxed LaWNO2 crystal.

a b c (Å): 4.1157 4.1157 4.0521
angles (deg): 90.00 90.00 90.00
With the nearest neighbours (Å) after each atom.
Space group P4/mmm (No. 123)
Asymmetric unit:
La (0.0000, 0.0000, 0.0000) [1 per cell]  8 O 2.89, 4 N 2.91
W (0.5000, 0.5000, 0.5000) [1 per cell]  2 N 2.03, 4 O 2.06
N (0.5000, 0.5000, 0.0000) [1 per cell]  2 W 2.03
O (0.0000, 0.5000, 0.5000) [2 per cell]  2 W 2.06

Computed properties:
The calculation puts the theoretical density at 8.92 g/cm³. The calculation puts the density of states at the Fermi level at 1.2 states/eV/f.u. The energy comes out at -0.5820 Ry per atom. As for the crystal system: tetragonal.